LiCaTlSe2: optimized geometry, PBE-GGA.

Cell lengths 5.1926, 5.1926, 4.6078 Å; angles 90.00, 90.00, 90.00 degrees
Element x y z (fractional)
Li: 0.0000 0.0000 0.0000
Ca: 0.5000 0.5000 0.5000
Tl: 0.0000 0.0000 0.5000
Se: 0.0000 0.5000 0.0000
Se: 0.5000 0.0000 0.0000

Computed properties:
- ΔE_f (raw): -0.6941 eV/atom
- Raw total energy: -3.3443 eV per atom
- Density of states at the Fermi level: 0.1 states/eV/cell